[1]
VASP calculation (PBE) on crystalline Mg7In12Sn at its relaxed geometry.

Cell and atoms, written as POSCAR:
```
Mg7In12Sn
1.0
8.4309 -0.0430 -0.0646
-2.3856 8.0864 -0.0646
-2.3856 -3.1742 7.4377
In Mg Sn
12 7 1
Direct
0.6613 0.3712 0.2179 In
0.0481 0.2941 0.4064 In
0.7821 0.3387 0.6288 In
0.4064 0.0481 0.2941 In
0.6288 0.7821 0.3387 In
0.3387 0.6288 0.7821 In
0.2941 0.4064 0.0481 In
0.2179 0.6613 0.3712 In
0.3712 0.2179 0.6613 In
0.7059 0.5936 0.9519 In
0.5936 0.9519 0.7059 In
0.9519 0.7059 0.5936 In
0.5000 0.5000 0.5000 Mg
0.6764 0.9844 0.1073 Mg
0.1073 0.6764 0.9844 Mg
0.3236 0.0156 0.8927 Mg
0.0156 0.8927 0.3236 Mg
0.9844 0.1073 0.6764 Mg
0.8927 0.3236 0.0156 Mg
0.0000 0.0000 0.0000 Sn
```

The calculation puts the density at 5.5 g cm⁻³. Its space group is R-3. Its crystal system is trigonal. For the total energy, the calculation gives -48.62 eV for the cell shown. The formation energy from the elements comes out at -30 meV per atom.

[2]
VASP calculation (PBE) on crystalline Er2Th2Pt3 at its relaxed geometry.

Cell and atoms, written as POSCAR:
```
Er2Th2Pt3
1.0
4.0484 0.0000 0.8974
1.8523 8.6749 1.2240
-0.1555 -0.1115 10.2822
Er Th Pt
4 4 6
Direct
0.9838 0.6798 0.3526 Er
0.0162 0.3202 0.6474 Er
0.2968 0.6234 0.7830 Er
0.7032 0.3766 0.2170 Er
0.6991 0.9404 0.6614 Th
0.3009 0.0596 0.3386 Th
0.5820 0.7850 0.0510 Th
0.4180 0.2150 0.9490 Th
0.8194 0.4561 0.9050 Pt
0.3548 0.7754 0.5150 Pt
0.6452 0.2246 0.4850 Pt
0.1806 0.5439 0.0950 Pt
0.0830 0.9771 0.8568 Pt
0.9170 0.0229 0.1432 Pt
```

The calculation puts the density at 12.7 g cm⁻³. Its space group is C2/m. Its crystal system is monoclinic. For the total energy, the calculation gives -98.62 eV for the cell shown. The formation energy from the elements comes out at -1032 meV per atom.

[3]
VASP calculation (PBE) on crystalline RbNa2InSn at its relaxed geometry.

Cell and atoms, written as POSCAR:
```
RbNa2InSn
1.0
5.9993 0.0000 0.0000
0.0000 5.9993 0.0000
0.0000 0.0000 5.9201
Na Sn Rb In
2 1 1 1
Direct
0.0000 0.5000 0.0000 Na
0.5000 0.0000 0.0000 Na
0.0000 0.0000 0.0000 Sn
0.5000 0.5000 0.5000 Rb
0.0000 0.0000 0.5000 In
```

The calculation puts the density at 2.8 g cm⁻³. Its space group is P4/mmm. Its crystal system is tetragonal. For the total energy, the calculation gives -10.53 eV for the cell shown. The formation energy from the elements comes out at -36 meV per atom.

[4]
VASP calculation (PBE) on crystalline GaBi2Au2 at its relaxed geometry.

Cell and atoms, written as POSCAR:
```
GaBi2Au2
1.0
7.1322 0.0000 0.0000
0.0000 7.1322 0.0000
0.0000 0.0000 4.7458
Bi Au Ga
4 4 2
Direct
0.8238 0.3238 0.5000 Bi
0.1762 0.6762 0.5000 Bi
0.3238 0.1762 0.5000 Bi
0.6762 0.8238 0.5000 Bi
0.1401 0.3599 0.0000 Au
0.6401 0.1401 0.0000 Au
0.8599 0.6401 0.0000 Au
0.3599 0.8599 0.0000 Au
0.0000 0.0000 0.0000 Ga
0.5000 0.5000 0.0000 Ga
```

The calculation puts the density at 12.1 g cm⁻³. Its space group is P4/mbm. Its crystal system is tetragonal. For the total energy, the calculation gives -34.59 eV for the cell shown. The formation energy from the elements comes out at 9 meV per atom.

[5]
VASP calculation (PBE) on crystalline Cu5Hg at its relaxed geometry.

Cell and atoms, written as POSCAR:
```
Cu5Hg
1.0
-2.9091 -0.8094 0.1031
0.6179 -1.9362 2.2356
-1.5771 6.4335 6.0079
Cu Hg
5 1
Direct
0.0000 0.0000 0.2040 Cu
0.0000 0.0000 0.7960 Cu
0.5000 0.5000 0.6489 Cu
0.5000 0.5000 0.3511 Cu
0.0000 0.0000 0.5000 Cu
0.5000 0.5000 0.0000 Hg
```

The calculation puts the density at 10.5 g cm⁻³. Its space group is P4/mmm. Its crystal system is tetragonal. For the total energy, the calculation gives -20.17 eV for the cell shown. The formation energy from the elements comes out at 102 meV per atom.

[6]
VASP calculation (PBE) on crystalline ErFePH at its relaxed geometry.

Cell and atoms, written as POSCAR:
```
ErFePH
1.0
3.7541 0.0000 0.0000
0.0000 3.7541 0.0000
0.0000 0.0000 7.2538
P Fe Er H
2 2 2 2
Direct
0.5000 0.0000 0.1606 P
0.0000 0.5000 0.8394 P
0.5000 0.5000 0.0000 Fe
0.0000 0.0000 0.0000 Fe
0.5000 0.0000 0.6718 Er
0.0000 0.5000 0.3282 Er
0.0000 0.0000 0.5000 H
0.5000 0.5000 0.5000 H
```

The calculation puts the density at 8.3 g cm⁻³. Its space group is P4/nmm. Its crystal system is tetragonal. For the total energy, the calculation gives -51.18 eV for the cell shown.

> What is the formula in the second record?

Er2Th2Pt3